Here is a relaxed structure of SrAlMo2 from the Alexandria database. Energies are from PBE.

* DOS at the Fermi energy: 3.5 states/eV/f.u.
* spin magnetization: 0.00 μB per formula unit
* total DFT energy (no corrections): -26.150 eV/cell
* ΔH_f (0 K): 234.3 meV/atom

Cell and atoms, written as CIF:
```
data_SrAlMo2
_space_group_name_H-M_alt 'P m m 2'
_space_group_IT_number 25
_cell_length_a 3.300
_cell_length_b 3.311
_cell_length_c 7.668
_cell_angle_alpha 90.00
_cell_angle_beta 90.00
_cell_angle_gamma 90.00
loop_
_space_group_symop_operation_xyz
'x,y,z'
'-x,-y,z'
'-x,y,z'
'x,-y,z'
loop_
_atom_site_label
_atom_site_type_symbol
_atom_site_fract_x
_atom_site_fract_y
_atom_site_fract_z
_atom_site_occupancy
Sr1 Sr 0.000 0.000 0.000 1
Al1 Al 0.500 0.500 0.323 1
Mo1 Mo 0.000 0.000 0.518 1
Mo2 Mo 0.500 0.500 0.682 1
```